(i)
First-principles (GGA-PBE) data for crystalline Y7ReO14 at its relaxed geometry, as listed in the Alexandria database.

Structure (POSCAR):
```
Y7ReO14
1.0
3.765 2.174 6.353
-3.765 2.174 6.353
0.000 -4.347 6.353
Y Re O
7 1 14
direct
0.000 0.000 0.000
0.000 0.000 0.500
0.000 0.500 0.000
0.000 0.500 0.500
0.500 0.000 0.000
0.500 0.000 0.500
0.500 0.500 0.000
0.500 0.500 0.500
0.135 0.135 0.598
0.135 0.598 0.135
0.137 0.137 0.137
0.203 0.570 0.570
0.402 0.865 0.865
0.430 0.430 0.797
0.430 0.797 0.430
0.570 0.203 0.570
0.570 0.570 0.203
0.598 0.135 0.135
0.797 0.430 0.430
0.863 0.863 0.863
0.865 0.402 0.865
0.865 0.865 0.402
```

Values from the calculation:
* magnetic moment: 0.000 μB/f.u.

(ii)
First-principles (GGA-PBE) data for crystalline Y7ReO14 at its relaxed geometry, as listed in the Alexandria database.

Structure (POSCAR):
```
Y7ReO14
1.0
7.624 0.000 0.000
0.000 10.675 0.000
0.000 0.000 7.574
Y Re O
14 2 28
direct
0.000 0.000 0.000
0.000 0.000 0.500
0.000 0.500 0.000
0.240 0.264 0.267
0.240 0.264 0.733
0.260 0.764 0.233
0.260 0.764 0.767
0.500 0.000 0.500
0.500 0.500 0.000
0.500 0.500 0.500
0.740 0.236 0.233
0.740 0.236 0.767
0.760 0.736 0.267
0.760 0.736 0.733
0.000 0.500 0.500
0.500 0.000 0.000
0.009 0.135 0.230
0.009 0.135 0.770
0.065 0.611 0.321
0.065 0.611 0.679
0.224 0.364 0.000
0.225 0.417 0.500
0.234 0.636 0.000
0.266 0.136 0.500
0.275 0.917 0.000
0.276 0.864 0.500
0.435 0.111 0.179
0.435 0.111 0.821
0.491 0.635 0.270
0.491 0.635 0.730
0.509 0.365 0.270
0.509 0.365 0.730
0.565 0.889 0.179
0.565 0.889 0.821
0.724 0.136 0.500
0.725 0.083 0.000
0.734 0.864 0.500
0.766 0.364 0.000
0.775 0.583 0.500
0.776 0.636 0.000
0.935 0.389 0.321
0.935 0.389 0.679
0.991 0.865 0.230
0.991 0.865 0.770
```

Values from the calculation:
* magnetic moment: 0.000 μB/f.u.

From most stable to least stable, the computed energies give (ii), (i).

(i)
First-principles (GGA-PBE) data for crystalline ZnReO4 at its relaxed geometry, as listed in the Alexandria database.

Structure (POSCAR):
```
ZnReO4
1.0
3.261 -3.390 0.000
3.261 3.390 0.000
0.000 0.000 3.098
Zn Re O
1 1 4
direct
0.000 0.000 0.000
0.500 0.500 0.500
0.216 0.216 0.500
0.314 0.686 0.000
0.686 0.314 0.000
0.784 0.784 0.500
```

Values from the calculation:
* magnetic moment: 0.975 μB/f.u.

(ii)
First-principles (GGA-PBE) data for crystalline ZnReO4 at its relaxed geometry, as listed in the Alexandria database.

Structure (POSCAR):
```
ZnReO4
1.0
-2.684 2.684 4.437
2.684 -2.684 4.437
2.684 2.684 -4.437
Zn Re O
1 1 4
direct
0.000 0.000 0.000
0.750 0.250 0.500
0.005 0.605 0.865
0.395 0.260 0.400
0.740 0.139 0.135
0.861 0.995 0.600
```

Values from the calculation:
* magnetic moment: 0.997 μB/f.u.

From most stable to least stable, the computed energies give (i), (ii).

(i)
First-principles (GGA-PBE) data for crystalline RuRh3O at its relaxed geometry, as listed in the Alexandria database.

Structure (POSCAR):
```
RuRh3O
1.0
4.100 0.000 0.000
0.000 4.100 0.000
0.000 0.000 4.100
Ru Rh O
1 3 1
direct
0.000 0.000 0.000
0.000 0.500 0.500
0.500 0.000 0.500
0.500 0.500 0.000
0.500 0.500 0.500
```

Values from the calculation:
* magnetic moment: 3.828 μB/f.u.

(ii)
First-principles (GGA-PBE) data for crystalline RuRh3O at its relaxed geometry, as listed in the Alexandria database.

Structure (POSCAR):
```
RuRh3O
1.0
4.673 0.000 0.000
0.000 4.673 0.000
0.000 0.000 4.673
Ru Rh O
1 3 1
direct
0.000 0.000 0.000
0.000 0.000 0.500
0.000 0.500 0.000
0.500 0.000 0.000
0.500 0.500 0.500
```

Values from the calculation:
* magnetic moment: 2.081 μB/f.u.

From most stable to least stable, the computed energies give (i), (ii).

(i)
First-principles (GGA-PBE) data for crystalline Ru3RhO at its relaxed geometry, as listed in the Alexandria database.

Structure (POSCAR):
```
Ru3RhO
1.0
4.712 0.000 0.000
0.000 4.712 0.000
0.000 0.000 4.712
Ru Rh O
3 1 1
direct
0.000 0.000 0.500
0.000 0.500 0.000
0.500 0.000 0.000
0.000 0.000 0.000
0.500 0.500 0.500
```

Values from the calculation:
* magnetic moment: 6.575 μB/f.u.

(ii)
First-principles (GGA-PBE) data for crystalline Ru3RhO at its relaxed geometry, as listed in the Alexandria database.

Structure (POSCAR):
```
Ru3RhO
1.0
4.036 0.000 0.000
0.000 4.036 0.000
0.000 0.000 4.036
Ru Rh O
3 1 1
direct
0.000 0.000 0.500
0.000 0.500 0.000
0.500 0.000 0.000
0.500 0.500 0.500
0.000 0.000 0.000
```

Values from the calculation:
* magnetic moment: 0.000 μB/f.u.

From most stable to least stable, the computed energies give (ii), (i).

(i)
First-principles (GGA-PBE) data for crystalline RuRhO2 at its relaxed geometry, as listed in the Alexandria database.

Structure (POSCAR):
```
RuRhO2
1.0
1.395 0.806 6.579
-1.395 0.806 6.579
0.000 -1.611 6.579
Ru Rh O
1 1 2
direct
0.000 0.000 0.000
0.500 0.500 0.500
0.399 0.399 0.399
0.601 0.601 0.601
```

Values from the calculation:
* magnetic moment: 0.000 μB/f.u.

(ii)
First-principles (GGA-PBE) data for crystalline RuRhO2 at its relaxed geometry, as listed in the Alexandria database.

Structure (POSCAR):
```
RuRhO2
1.0
0.000 2.758 2.758
2.758 0.000 2.758
2.758 2.758 0.000
Ru Rh O
1 1 2
direct
0.000 0.000 0.000
0.500 0.500 0.500
0.250 0.250 0.250
0.750 0.750 0.750
```

Values from the calculation:
* magnetic moment: 0.000 μB/f.u.

From most stable to least stable, the computed energies give (i), (ii).

(i)
First-principles (GGA-PBE) data for crystalline RhS3O at its relaxed geometry, as listed in the Alexandria database.

Structure (POSCAR):
```
RhS3O
1.0
4.158 0.000 0.000
0.000 4.158 0.000
0.000 0.000 4.158
Rh S O
1 3 1
direct
0.000 0.000 0.000
0.000 0.500 0.500
0.500 0.000 0.500
0.500 0.500 0.000
0.500 0.500 0.500
```

Values from the calculation:
* magnetic moment: 0.000 μB/f.u.

(ii)
First-principles (GGA-PBE) data for crystalline RhS3O at its relaxed geometry, as listed in the Alexandria database.

Structure (POSCAR):
```
RhS3O
1.0
4.562 0.000 0.000
0.000 4.562 0.000
0.000 0.000 4.562
Rh S O
1 3 1
direct
0.000 0.000 0.000
0.000 0.000 0.500
0.000 0.500 0.000
0.500 0.000 0.000
0.500 0.500 0.500
```

Values from the calculation:
* magnetic moment: 0.000 μB/f.u.

From most stable to least stable, the computed energies give (i), (ii).

(i)
First-principles (GGA-PBE) data for crystalline Rh2SO at its relaxed geometry, as listed in the Alexandria database.

Structure (POSCAR):
```
Rh2SO
1.0
-2.526 2.526 4.935
2.526 -2.526 4.935
2.526 2.526 -4.935
Rh S O
4 2 2
direct
0.110 0.625 0.985
0.375 0.360 0.485
0.640 0.125 0.015
0.875 0.890 0.515
0.250 0.750 0.500
0.500 0.500 0.000
0.000 0.000 0.000
0.750 0.250 0.500
```

Values from the calculation:
* magnetic moment: 0.000 μB/f.u.

(ii)
First-principles (GGA-PBE) data for crystalline Rh2SO at its relaxed geometry, as listed in the Alexandria database.

Structure (POSCAR):
```
Rh2SO
1.0
0.000 2.884 2.884
2.884 0.000 2.884
2.884 2.884 0.000
Rh S O
2 1 1
direct
0.250 0.250 0.250
0.750 0.750 0.750
0.000 0.000 0.000
0.500 0.500 0.500
```

Values from the calculation:
* magnetic moment: 1.223 μB/f.u.

From most stable to least stable, the computed energies give (i), (ii).

(i)
First-principles (GGA-PBE) data for crystalline SbRh2O6 at its relaxed geometry, as listed in the Alexandria database.

Structure (POSCAR):
```
SbRh2O6
1.0
9.069 0.000 0.000
-4.534 7.854 0.000
0.000 0.000 4.385
Sb Rh O
3 6 18
direct
0.000 0.000 0.000
0.333 0.667 0.496
0.667 0.333 0.504
0.000 0.338 0.000
0.000 0.662 0.000
0.338 0.000 0.000
0.338 0.338 0.000
0.662 0.000 0.000
0.662 0.662 0.000
0.107 0.554 0.746
0.115 0.229 0.771
0.115 0.885 0.771
0.219 0.438 0.254
0.219 0.781 0.254
0.229 0.115 0.229
0.438 0.219 0.746
0.446 0.554 0.746
0.446 0.893 0.746
0.554 0.107 0.254
0.554 0.446 0.254
0.562 0.781 0.254
0.771 0.885 0.771
0.781 0.219 0.746
0.781 0.562 0.746
0.885 0.115 0.229
0.885 0.771 0.229
0.893 0.446 0.254
```

Values from the calculation:
* magnetic moment: 0.838 μB/f.u.

(ii)
First-principles (GGA-PBE) data for crystalline SbRh2O6 at its relaxed geometry, as listed in the Alexandria database.

Structure (POSCAR):
```
SbRh2O6
1.0
4.630 0.000 0.000
0.000 4.630 0.000
0.000 0.000 9.508
Sb Rh O
2 4 12
direct
0.000 0.000 0.000
0.500 0.500 0.500
0.000 0.000 0.332
0.000 0.000 0.668
0.500 0.500 0.168
0.500 0.500 0.832
0.192 0.192 0.500
0.193 0.193 0.166
0.193 0.193 0.834
0.307 0.693 0.334
0.307 0.693 0.666
0.308 0.692 0.000
0.692 0.308 0.000
0.693 0.307 0.334
0.693 0.307 0.666
0.807 0.807 0.166
0.807 0.807 0.834
0.808 0.808 0.500
```

Values from the calculation:
* magnetic moment: 0.000 μB/f.u.

From most stable to least stable, the computed energies give (ii), (i).

(i)
First-principles (GGA-PBE) data for crystalline SbRh2O at its relaxed geometry, as listed in the Alexandria database.

Structure (POSCAR):
```
SbRh2O
1.0
-2.408 2.408 6.096
2.408 -2.408 6.096
2.408 2.408 -6.096
Sb Rh O
2 4 2
direct
0.000 0.000 0.000
0.750 0.250 0.500
0.249 0.625 0.124
0.375 0.499 0.624
0.501 0.125 0.876
0.875 0.751 0.376
0.250 0.750 0.500
0.500 0.500 0.000
```

Values from the calculation:
* magnetic moment: 0.000 μB/f.u.

(ii)
First-principles (GGA-PBE) data for crystalline SbRh2O at its relaxed geometry, as listed in the Alexandria database.

Structure (POSCAR):
```
SbRh2O
1.0
0.000 3.062 3.062
3.062 0.000 3.062
3.062 3.062 0.000
Sb Rh O
1 2 1
direct
0.000 0.000 0.000
0.250 0.250 0.250
0.750 0.750 0.750
0.500 0.500 0.500
```

Values from the calculation:
* magnetic moment: 1.000 μB/f.u.

From most stable to least stable, the computed energies give (i), (ii).

(i)
First-principles (GGA-PBE) data for crystalline Sb2TeRhO at its relaxed geometry, as listed in the Alexandria database.

Structure (POSCAR):
```
Sb2TeRhO
1.0
4.621 0.000 0.000
0.000 4.621 0.000
0.000 0.000 4.834
Sb Te Rh O
2 1 1 1
direct
0.000 0.500 0.000
0.500 0.000 0.000
0.000 0.000 0.500
0.500 0.500 0.500
0.000 0.000 0.000
```

Values from the calculation:
* magnetic moment: 0.000 μB/f.u.

(ii)
First-principles (GGA-PBE) data for crystalline Sb2TeRhO at its relaxed geometry, as listed in the Alexandria database.

Structure (POSCAR):
```
Sb2TeRhO
1.0
5.115 0.000 0.000
0.000 5.115 0.000
0.000 0.000 5.133
Sb Te Rh O
2 1 1 1
direct
0.000 0.500 0.000
0.500 0.000 0.000
0.000 0.000 0.500
0.000 0.000 0.000
0.500 0.500 0.500
```

Values from the calculation:
* magnetic moment: 0.001 μB/f.u.

From most stable to least stable, the computed energies give (i), (ii).

(i)
First-principles (GGA-PBE) data for crystalline RhSe3O at its relaxed geometry, as listed in the Alexandria database.

Structure (POSCAR):
```
RhSe3O
1.0
4.832 0.000 0.000
0.000 4.832 0.000
0.000 0.000 4.832
Rh Se O
1 3 1
direct
0.000 0.000 0.000
0.000 0.000 0.500
0.000 0.500 0.000
0.500 0.000 0.000
0.500 0.500 0.500
```

Values from the calculation:
* magnetic moment: 0.000 μB/f.u.

(ii)
First-principles (GGA-PBE) data for crystalline RhSe3O at its relaxed geometry, as listed in the Alexandria database.

Structure (POSCAR):
```
RhSe3O
1.0
4.416 0.000 0.000
0.000 4.416 0.000
0.000 0.000 4.416
Rh Se O
1 3 1
direct
0.000 0.000 0.000
0.000 0.500 0.500
0.500 0.000 0.500
0.500 0.500 0.000
0.500 0.500 0.500
```

Values from the calculation:
* magnetic moment: 0.000 μB/f.u.

From most stable to least stable, the computed energies give (ii), (i).